# 1
A plane-wave DFT calculation with PBE was carried out for an optimized crystal structure of Y4AlFe.

E above lowest polymorph = 816 meV per atom
Size of the total moment = 10.9 μB per cell
ρ = 4.446 g cm⁻³
D(E_F) = 24.55 states/eV/cell
Energy relative to the elements = 0.70 eV per atom

Unit cell a=8.6845 b=8.6845 c=8.6845 alpha=90.00 beta=90.00 gamma=90.00
Closest atoms and distances in Å follow each position.
Space group F-43m (No. 216)
Unique sites:
Y  0.1248  0.1248  0.1248 [16 per cell]  6 Y 3.07
Al  0.2500  0.2500  0.7500 [4 per cell]  12 Y 3.60, 4 Fe 3.76
Fe  0.0000  0.0000  0.5000 [4 per cell]  12 Y 3.60, 4 Al 3.76

# 2
A plane-wave DFT calculation with PBE was carried out for an optimized crystal structure of Cu3NiPd6.

E above lowest polymorph = 0 meV per atom
Size of the total moment = 3.5 μB per cell
ρ = 10.463 g cm⁻³
D(E_F) = 26.57 states/eV/cell
Energy relative to the elements = -0.04 eV per atom

Unit cell a=7.1948 b=4.4331 c=9.4634 alpha=90.00 beta=110.98 gamma=90.00
Closest atoms and distances in Å follow each position.
Space group P2_1/m (No. 11)
Unique sites:
Cu  0.1033  0.2500  0.2270 [2 per cell]  8 Pd 2.60-2.70, 3 Cu 2.69-2.75, 1 Ni 2.83
Cu  0.2969  0.2500  0.0312 [2 per cell]  1 Cu 2.69, 11 Pd 2.70-2.83
Cu  0.3138  0.7500  0.3693 [2 per cell]  9 Pd 2.62-2.76, 2 Cu 2.75, 1 Ni 2.81
Ni  0.1083  0.7500  0.5720 [2 per cell]  8 Pd 2.58-2.66, 2 Ni 2.77, 2 Cu 2.81-2.83
Pd  0.0745  0.2500  0.7170 [2 per cell]  3 Ni 2.58-2.66, 4 Cu 2.62-2.83, 5 Pd 2.73-2.80
Pd  0.1044  0.7500  0.0727 [2 per cell]  7 Cu 2.66-2.72, 5 Pd 2.72-2.75
Pd  0.2760  0.2500  0.5195 [2 per cell]  3 Ni 2.58-2.65, 4 Cu 2.60-2.76, 5 Pd 2.74-2.81
Pd  0.2905  0.7500  0.8647 [2 per cell]  1 Ni 2.61, 4 Cu 2.65-2.77, 7 Pd 2.72-2.81
Pd  0.4916  0.2500  0.8325 [2 per cell]  4 Cu 2.72-2.74, 8 Pd 2.72-2.81
Pd  0.4980  0.2500  0.3341 [2 per cell]  5 Cu 2.64-2.71, 1 Ni 2.65, 6 Pd 2.74-2.81

# 3
A plane-wave DFT calculation with PBE was carried out for an optimized crystal structure of Tm2Cd5Hg12.

E above lowest polymorph = 0 meV per atom
Size of the total moment = 0.0 μB per cell
ρ = 11.686 g cm⁻³
D(E_F) = 15.24 states/eV/cell
Energy relative to the elements = -0.09 eV per atom

Unit cell a=17.3651 b=10.4814 c=5.3712 alpha=90.00 beta=105.98 gamma=90.00
Closest atoms and distances in Å follow each position.
Space group C2/m (No. 12)
Unique sites:
Tm  0.0000  0.2366  0.0000 [4 per cell]  10 Hg 3.09-3.24
Cd  0.0000  0.0000  0.5000 [2 per cell]  8 Hg 3.09-3.42, 2 Cd 3.40
Cd  0.1992  0.5000  0.8018 [4 per cell]  2 Cd 3.12-3.18, 8 Hg 3.12-3.48
Cd  0.2025  0.0000  0.6175 [4 per cell]  6 Hg 2.98-3.22, 2 Cd 3.12-3.18
Hg  0.0533  0.5000  0.2832 [4 per cell]  6 Hg 3.09-3.46, 2 Tm 3.16, 1 Cd 3.21
Hg  0.1004  0.2533  0.6055 [8 per cell]  4 Hg 3.05-3.36, 2 Tm 3.10-3.24, 3 Cd 3.12-3.18
Hg  0.1099  0.0000  0.0612 [4 per cell]  4 Cd 2.98-3.22, 2 Tm 3.09, 2 Hg 3.22
Hg  0.1901  0.2775  0.1919 [8 per cell]  2 Cd 2.99-3.17, 3 Hg 3.05-3.22, 1 Tm 3.21

# 4
A plane-wave DFT calculation with PBE was carried out for an optimized crystal structure of LaZn2In.

Size of the total moment = 0.0 μB per cell
ρ = 6.870 g cm⁻³
D(E_F) = 6.29 states/eV/cell
Energy relative to the elements = -0.22 eV per atom

Unit cell a=7.1906 b=7.1906 c=7.1906 alpha=90.00 beta=90.00 gamma=90.00
Closest atoms and distances in Å follow each position.
Space group F-43m (No. 216)
Unique sites:
La  0.0000  0.0000  0.0000 [4 per cell]  4 In 3.11, 4 Zn 3.11
Zn  0.0000  0.0000  0.5000 [4 per cell]  4 In 3.11, 4 Zn 3.11
Zn  0.2500  0.2500  0.2500 [4 per cell]  4 La 3.11, 4 Zn 3.11
In  0.2500  0.2500  0.7500 [4 per cell]  4 La 3.11, 4 Zn 3.11